# 1
A geometry-optimized FeNi3Sb structure. Source: Alexandria via LeMat-Bulk, functional PBE.

The structure in POSCAR format:
```
FeNi3Sb
1.0
4.3404 0.0000 0.0000
0.0000 4.3404 0.0000
0.0000 0.0000 4.3404
Ni Sb Fe
3 1 1
direct
0.5000 0.0000 0.0000
0.0000 0.0000 0.5000
0.0000 0.5000 0.0000
0.5000 0.5000 0.5000
0.0000 0.0000 0.0000
```

The symmetry is Pm-3m. The total magnetic moment is 0.896 μB/atom. The calculation puts the calculated volume at 82 Å³/cell.


# 2
A geometry-optimized FeNiSb2 structure. Source: Alexandria via LeMat-Bulk, functional PBE.

The structure in POSCAR format:
```
FeNiSb2
1.0
6.3404 -0.8262 -0.4882
5.6090 3.0697 -0.4882
5.6090 1.0531 2.9244
Sb Fe Ni
2 1 1
direct
0.0368 0.0368 0.0368
0.2137 0.2137 0.2137
0.4742 0.4742 0.4742
0.7753 0.7753 0.7753
```

The symmetry is R3m. The total magnetic moment is 0.596 μB/atom. The calculation puts the calculated volume at 82 Å³/cell.


# 3
A geometry-optimized FeNiSb2 structure. Source: Alexandria via LeMat-Bulk, functional PBE.

The structure in POSCAR format:
```
FeNiSb2
1.0
3.2076 0.0000 0.0000
0.0000 3.2076 0.0000
0.0000 0.0000 7.5790
Fe Sb Ni
1 2 1
direct
0.0000 0.0000 0.5504
0.5000 0.5000 0.3368
0.0000 0.0000 0.9078
0.5000 0.5000 0.7051
```

The symmetry is P4mm. The total magnetic moment is 0.787 μB/atom. The calculation puts the calculated volume at 78 Å³/cell.


The following polymorph energy (0 for the lowest one) values (in meV per atom) correspond, in order, to the records above: 0; 53; 84.
The following ΔE_f (raw) values (in eV/atom) correspond, in order, to the records above: 0.76; 0.06; 0.10.
The following density values (in g cm⁻³) correspond, in order, to the records above: 7.18; 7.29; 7.62.